Here is a relaxed LaTb4Pm crystal from the Alexandria database. Energies are from PBE-GGA.

Unit cell a=5.101 b=6.248 c=7.225 alpha=106.80 beta=90.05 gamma=114.06
Space group P-1 (No. 2)
Inequivalent atoms, fractional coordinates:
La: 0.000 0.000 0.000
Tb: 0.331 0.662 0.665
Tb: 0.333 0.666 0.168
Pm: 0.000 0.000 0.500

Values from the calculation:
Crystal system: triclinic
Total moment in μB per formula unit: 0.00
Formation energy in meV per atom: 23
DOS at the Fermi energy in states/eV/f.u.: 8.9

***

Here is a relaxed SmIO4F crystal from the Alexandria database. Energies are from PBE-GGA.

Unit cell a=9.647 b=7.379 c=6.782 alpha=90.00 beta=99.88 gamma=90.00
Space group C2/m (No. 12)
Inequivalent atoms, fractional coordinates:
Sm: 0.194 0.000 0.110
I: 0.141 0.500 0.320
O: 0.057 0.500 0.753
O: 0.191 0.322 0.153
O: 0.200 0.000 0.470
F: 0.029 0.000 0.826

Values from the calculation:
Crystal system: monoclinic
Total moment in μB per formula unit: 1.00
Formation energy from raw total energies in eV per atom: -1.650
DOS at the Fermi energy in states/eV/f.u.: 0.0

***

Here is a relaxed Sr5Pd2I2 crystal from the Alexandria database. Energies are from PBE-GGA.

Unit cell a=17.906 b=8.533 c=8.539 alpha=90.00 beta=90.00 gamma=90.00
Space group Cmce (No. 64)
Inequivalent atoms, fractional coordinates:
Sr: 0.000 0.000 0.000
Sr: 0.112 0.161 0.340
Pd: 0.000 0.131 0.631
I: 0.220 0.000 0.000

Values from the calculation:
Crystal system: orthorhombic
Total moment in μB per formula unit: 0.00
Formation energy from raw total energies in eV per atom: -0.854
DOS at the Fermi energy in states/eV/f.u.: 2.8

***

Here is a relaxed CsNpIBr3 crystal from the Alexandria database. Energies are from PBE-GGA.

Unit cell a=7.428 b=25.934 c=7.828 alpha=90.00 beta=90.00 gamma=90.00
Space group Cmcm (No. 63)
Inequivalent atoms, fractional coordinates:
Cs: 0.000 0.242 0.250
Np: 0.000 0.469 0.750
I: 0.000 0.207 0.750
Br: 0.000 0.366 0.750
Br: 0.243 0.000 0.000

Values from the calculation:
Crystal system: orthorhombic
Total moment in μB per formula unit: 3.89
Formation energy from raw total energies in eV per atom: -1.264
DOS at the Fermi energy in states/eV/f.u.: 5.1